No. 1
## Tb3DyB2Pb2 (PBE)

Data for an optimized crystal structure of Tb3DyB2Pb2.

Results
Magnetization = 0.22 μB per formula unit
Calculated total energy = -40.751 eV per formula unit
SG = No. 156
Calculated volume = 199.9 Å³ per cell

abc: 3.7056 3.7056 16.8091
angles: 90.00 90.00 120.00
Element x y z (fractional)
B  0.3333  0.6667  0.5002
B  0.3333  0.6667  0.9994
Dy  0.0000  0.0000  0.9104
Pb  0.0000  0.0000  0.2497
Pb  0.6667  0.3333  0.7508
Tb  0.6667  0.3333  0.0892
Tb  0.6667  0.3333  0.4100
Tb  0.0000  0.0000  0.5903

No. 2
## NdSe2Cl2 (PBE)

Data for an optimized crystal structure of NdSe2Cl2.

Results
Magnetization = 0.00 μB per formula unit
Calculated total energy = -22.948 eV per formula unit
SG = No. 2
Calculated volume = 367.3 Å³ per cell

abc: 7.3416 7.4082 7.9563
angles: 83.60 62.59 73.06
Element x y z (fractional)
Cl  0.5669  0.7556  0.4597
Cl  0.9669  0.2444  0.4728
Cl  0.0331  0.7556  0.5271
Cl  0.4331  0.2444  0.5403
Nd  0.8263  0.0001  0.3473
Nd  0.1737  0.9999  0.6527
Se  0.7307  0.0527  0.0010
Se  0.8960  0.2683  0.0074
Se  0.1040  0.7317  0.9926
Se  0.2693  0.9473  0.9990

No. 3
## FeTcBiPt (PBE)

Data for an optimized crystal structure of FeTcBiPt.

Results
Magnetization = 2.79 μB per formula unit
SG = No. 216
ΔE to the lowest computed polymorph = 0.0 kJ/mol of formula units
Calculated volume = 66.8 Å³ per cell

abc: 4.5545 4.5545 4.5545
angles: 60.00 60.00 60.00
Element x y z (fractional)
Bi  0.0000  0.0000  0.0000
Fe  0.7500  0.7500  0.7500
Pt  0.5000  0.5000  0.5000
Tc  0.2500  0.2500  0.2500

No. 4
## La2HoAl7Ag2 (PBE)

Data for an optimized crystal structure of La2HoAl7Ag2.

Results
Magnetization = 0.01 μB per formula unit
Calculated total energy = -51.374 eV per formula unit
SG = No. 166
Calculated volume = 247.5 Å³ per cell

abc: 9.5339 9.5339 9.5339
angles: 34.46 34.46 34.46
Element x y z (fractional)
Ag  0.3360  0.3360  0.3360
Ag  0.6640  0.6640  0.6640
Al  0.5846  0.5846  0.0736
Al  0.9264  0.4154  0.4154
Al  0.4154  0.9264  0.4154
Al  0.5000  0.5000  0.5000
Al  0.5846  0.0736  0.5846
Al  0.0736  0.5846  0.5846
Al  0.4154  0.4154  0.9264
Ho  0.0000  0.0000  0.0000
La  0.1423  0.1423  0.1423
La  0.8577  0.8577  0.8577